KNaCu2Te2: relaxed, PBE-GGA.

Cell: 4.462 4.462 8.834 Å, 90.00 90.00 120.00°
Element x y z (fractional)
Cu  0.667  0.333  0.277
Cu  0.333  0.667  0.723
K  0.000  0.000  0.000
Na  0.000  0.000  0.500
Te  0.333  0.667  0.274
Te  0.667  0.333  0.726

Calculated values
E_tot, eV per atom: -3.23
Calculated volume, Å³ per cell: 152.3

KNb2CuS4: relaxed, PBE-GGA.

Cell: 6.361 6.361 12.647 Å, 90.00 90.00 143.73°
Element x y z (fractional)
Cu  0.149  0.851  0.013
Cu  0.851  0.149  0.513
K  0.867  0.133  0.003
K  0.133  0.867  0.503
Nb  0.612  0.388  0.206
Nb  0.399  0.601  0.314
Nb  0.388  0.612  0.706
Nb  0.601  0.399  0.814
S  0.555  0.445  0.011
S  0.257  0.743  0.163
S  0.007  0.993  0.261
S  0.756  0.244  0.355
S  0.445  0.555  0.511
S  0.743  0.257  0.663
S  0.993  0.007  0.761
S  0.244  0.756  0.855

Calculated values
E_tot, eV per atom: -5.96
Calculated volume, Å³ per cell: 302.7

KNbCuTeS2: relaxed, PBE-GGA.

Cell: 8.129 8.129 10.090 Å, 90.00 90.00 154.09°
Last column: magnetic moment on the atom in μB.
Element x y z (fractional)
Cu  0.975  0.025  0.250  0.01
Cu  0.025  0.975  0.750  0.01
K  0.283  0.717  0.250  0.00
K  0.717  0.283  0.750  0.00
Nb  0.500  0.500  0.000  0.35
Nb  0.500  0.500  0.500  0.35
S  0.897  0.103  0.063  -0.01
S  0.897  0.103  0.437  -0.01
S  0.103  0.897  0.563  -0.01
S  0.103  0.897  0.937  -0.01
Te  0.591  0.409  0.250  0.00
Te  0.409  0.591  0.750  0.00

Calculated values
E_tot, eV per atom: -5.12
Calculated volume, Å³ per cell: 291.3